A PBEsol-optimized structure of BaTc2Ni. Source: Alexandria, functional SCAN.

Geometry as POSCAR:
```
BaTc2Ni
1.0
-1.606 2.801 4.515
1.606 -2.801 4.515
1.606 2.801 -4.515
Ba Tc Ni
1 2 1
Direct
0.000 0.000 0.000 Ba
0.318 0.818 0.500 Tc
0.502 0.502 0.000 Tc
0.701 0.201 0.500 Ni
```

Values from the calculation:
total DFT energy (no corrections): -121.9 eV per formula unit
ΔE_f: 0.987 eV/atom
DOS at the Fermi energy: 2.00 states/eV/f.u.
SG: Imm2 (44)
energy relative to the lowest polymorph listed for this composition: 0 meV per atom